(1)
The following is a DFT calculation (GGA-PBEsol) of TmGe3 after structural relaxation.

CIF file:
```
data_TmGe3
_symmetry_space_group_name_H-M 'C m c m'
_symmetry_Int_Tables_number 63
_symmetry_space_group_name_Hall '-C 2c 2'
_cell_length_a 3.955
_cell_length_b 20.314
_cell_length_c 3.850
_cell_angle_alpha 90.00
_cell_angle_beta 90.00
_cell_angle_gamma 90.00
loop_
_atom_site_label
_atom_site_type_symbol
_atom_site_fract_x
_atom_site_fract_y
_atom_site_fract_z
_atom_site_occupancy
Tm1 Tm 0.000 0.081 0.250 1
Ge1 Ge 0.000 0.190 0.750 1
Ge2 Ge 0.000 0.312 0.750 1
Ge3 Ge 0.000 0.459 0.250 1
```

Total magnetic moment in μB per cell: 0.001


(2)
The following is a DFT calculation (GGA-PBEsol) of Tm5Ge3 after structural relaxation.

CIF file:
```
data_Tm5Ge3
_symmetry_space_group_name_H-M 'P 63/m c m'
_symmetry_Int_Tables_number 193
_symmetry_space_group_name_Hall '-P 6c 2'
_cell_length_a 8.2664
_cell_length_b 8.2664
_cell_length_c 6.1878
_cell_angle_alpha 90.00
_cell_angle_beta 90.00
_cell_angle_gamma 120.00
loop_
_atom_site_label
_atom_site_type_symbol
_atom_site_fract_x
_atom_site_fract_y
_atom_site_fract_z
_atom_site_occupancy
Tm1 Tm 0.0000 0.2409 0.2500 1
Tm2 Tm 0.3333 0.6667 0.0000 1
Ge1 Ge 0.0000 0.3947 0.7500 1
```

Total magnetic moment in μB per cell: 0.001


(3)
The following is a DFT calculation (GGA-PBEsol) of TmZnGe after structural relaxation.

CIF file:
```
data_TmZnGe
_symmetry_space_group_name_H-M 'P 63/m m c'
_symmetry_Int_Tables_number 194
_symmetry_space_group_name_Hall '-P 6c 2c'
_cell_length_a 4.1115
_cell_length_b 4.1115
_cell_length_c 7.7004
_cell_angle_alpha 90.00
_cell_angle_beta 90.00
_cell_angle_gamma 120.00
loop_
_atom_site_label
_atom_site_type_symbol
_atom_site_fract_x
_atom_site_fract_y
_atom_site_fract_z
_atom_site_occupancy
Tm1 Tm 0.0000 0.0000 0.0000 1
Zn1 Zn 0.3333 0.6667 0.2500 1
Ge1 Ge 0.3333 0.6667 0.7500 1
```

Total magnetic moment in μB per cell: 0.000


(4)
The following is a DFT calculation (GGA-PBEsol) of Tm4Zn5Ge6 after structural relaxation.

CIF file:
```
data_Tm4Zn5Ge6
_symmetry_space_group_name_H-M 'C m c 21'
_symmetry_Int_Tables_number 36
_cell_length_a 4.146
_cell_length_b 18.116
_cell_length_c 14.930
_cell_angle_alpha 90.00
_cell_angle_beta 90.00
_cell_angle_gamma 90.00
loop_
_symmetry_equiv_pos_as_xyz
'x,y,z'
'-x,-y,z+1/2'
'-x,y,z'
'x,-y,z+1/2'
'x+1/2,y+1/2,z'
'-x+1/2,-y+1/2,z+1/2'
'-x+1/2,y+1/2,z'
'x+1/2,-y+1/2,z+1/2'
loop_
_atom_site_label
_atom_site_type_symbol
_atom_site_fract_x
_atom_site_fract_y
_atom_site_fract_z
_atom_site_occupancy
Tm1 Tm 0.000 0.019 0.000 1
Tm2 Tm 0.000 0.033 0.735 1
Tm3 Tm 0.000 0.167 0.196 1
Tm4 Tm 0.000 0.175 0.555 1
Zn1 Zn 0.000 0.151 0.872 1
Zn2 Zn 0.000 0.301 0.875 1
Zn3 Zn 0.000 0.345 0.224 1
Zn4 Zn 0.000 0.349 0.517 1
Zn5 Zn 0.000 0.434 0.812 1
Ge1 Ge 0.000 0.111 0.383 1
Ge2 Ge 0.000 0.224 0.014 1
Ge3 Ge 0.000 0.229 0.733 1
Ge4 Ge 0.000 0.431 0.089 1
Ge5 Ge 0.000 0.434 0.369 1
Ge6 Ge 0.000 0.440 0.644 1
```

Total magnetic moment in μB per cell: 0.000


(5)
The following is a DFT calculation (GGA-PBEsol) of UGe2 after structural relaxation.

CIF file:
```
data_UGe2
_symmetry_space_group_name_H-M 'C m m m'
_symmetry_Int_Tables_number 65
_symmetry_space_group_name_Hall '-C 2 2'
_cell_length_a 4.034
_cell_length_b 13.611
_cell_length_c 4.164
_cell_angle_alpha 90.00
_cell_angle_beta 90.00
_cell_angle_gamma 90.00
loop_
_atom_site_label
_atom_site_type_symbol
_atom_site_fract_x
_atom_site_fract_y
_atom_site_fract_z
_atom_site_occupancy
U1 U 0.000 0.149 0.000 1
Ge1 Ge 0.000 0.000 0.500 1
Ge2 Ge 0.000 0.322 0.500 1
Ge3 Ge 0.000 0.500 0.000 1
```

Total magnetic moment in μB per cell: 6.267


(6)
The following is a DFT calculation (GGA-PBEsol) of UGe3 after structural relaxation.

CIF file:
```
data_UGe3
_symmetry_space_group_name_H-M 'P m -3 m'
_symmetry_Int_Tables_number 221
_symmetry_space_group_name_Hall '-P 4 2 3'
_cell_length_a 4.138
_cell_length_b 4.138
_cell_length_c 4.138
_cell_angle_alpha 90.00
_cell_angle_beta 90.00
_cell_angle_gamma 90.00
loop_
_atom_site_label
_atom_site_type_symbol
_atom_site_fract_x
_atom_site_fract_y
_atom_site_fract_z
_atom_site_occupancy
U1 U 0.000 0.000 0.000 1
Ge1 Ge 0.000 0.500 0.500 1
```

Total magnetic moment in μB per cell: 0.000


(7)
The following is a DFT calculation (GGA-PBEsol) of VGe2 after structural relaxation.

CIF file:
```
data_VGe2
_symmetry_space_group_name_H-M 'P 62 2 2'
_symmetry_Int_Tables_number 180
_symmetry_space_group_name_Hall 'P 62 2 (0 0 4)'
_cell_length_a 4.7413
_cell_length_b 4.7413
_cell_length_c 6.5449
_cell_angle_alpha 90.00
_cell_angle_beta 90.00
_cell_angle_gamma 120.00
loop_
_atom_site_label
_atom_site_type_symbol
_atom_site_fract_x
_atom_site_fract_y
_atom_site_fract_z
_atom_site_occupancy
V1 V 0.0000 0.5000 0.1667 1
Ge1 Ge 0.1664 0.3328 0.5000 1
```

Total magnetic moment in μB per cell: 0.000


(8)
The following is a DFT calculation (GGA-PBEsol) of V5Ge3 after structural relaxation.

CIF file:
```
data_V5Ge3
_symmetry_space_group_name_H-M 'P 63/m c m'
_symmetry_Int_Tables_number 193
_symmetry_space_group_name_Hall '-P 6c 2'
_cell_length_a 7.1672
_cell_length_b 7.1672
_cell_length_c 4.8721
_cell_angle_alpha 90.00
_cell_angle_beta 90.00
_cell_angle_gamma 120.00
loop_
_atom_site_label
_atom_site_type_symbol
_atom_site_fract_x
_atom_site_fract_y
_atom_site_fract_z
_atom_site_occupancy
V1 V 0.0000 0.2420 0.2500 1
V2 V 0.3333 0.6667 0.0000 1
Ge1 Ge 0.0000 0.3929 0.7500 1
```

Total magnetic moment in μB per cell: 1.581


(9)
The following is a DFT calculation (GGA-PBEsol) of ZnGeW3 after structural relaxation.

CIF file:
```
data_ZnGeW3
_symmetry_space_group_name_H-M 'P m -3 m'
_symmetry_Int_Tables_number 221
_symmetry_space_group_name_Hall '-P 4 2 3'
_cell_length_a 4.502
_cell_length_b 4.502
_cell_length_c 4.502
_cell_angle_alpha 90.00
_cell_angle_beta 90.00
_cell_angle_gamma 90.00
loop_
_atom_site_label
_atom_site_type_symbol
_atom_site_fract_x
_atom_site_fract_y
_atom_site_fract_z
_atom_site_occupancy
Zn1 Zn 0.000 0.000 0.000 1
Ge1 Ge 0.500 0.500 0.500 1
W1 W 0.000 0.000 0.500 1
```

Total magnetic moment in μB per cell: 0.001


(10)
The following is a DFT calculation (GGA-PBEsol) of Y3ZnGe after structural relaxation.

CIF file:
```
data_Y3ZnGe
_symmetry_space_group_name_H-M 'P m -3 m'
_symmetry_Int_Tables_number 221
_symmetry_space_group_name_Hall '-P 4 2 3'
_cell_length_a 5.219
_cell_length_b 5.219
_cell_length_c 5.219
_cell_angle_alpha 90.00
_cell_angle_beta 90.00
_cell_angle_gamma 90.00
loop_
_atom_site_label
_atom_site_type_symbol
_atom_site_fract_x
_atom_site_fract_y
_atom_site_fract_z
_atom_site_occupancy
Y1 Y 0.000 0.000 0.500 1
Zn1 Zn 0.000 0.000 0.000 1
Ge1 Ge 0.500 0.500 0.500 1
```

Total magnetic moment in μB per cell: 0.000


(11)
The following is a DFT calculation (GGA-PBEsol) of Y2ZrGe2 after structural relaxation.

CIF file:
```
data_Y2ZrGe2
_symmetry_space_group_name_H-M 'P 4/m b m'
_symmetry_Int_Tables_number 127
_symmetry_space_group_name_Hall '-P 4 2ab'
_cell_length_a 7.340
_cell_length_b 7.340
_cell_length_c 4.087
_cell_angle_alpha 90.00
_cell_angle_beta 90.00
_cell_angle_gamma 90.00
loop_
_atom_site_label
_atom_site_type_symbol
_atom_site_fract_x
_atom_site_fract_y
_atom_site_fract_z
_atom_site_occupancy
Y1 Y 0.171 0.329 0.000 1
Zr1 Zr 0.000 0.000 0.500 1
Ge1 Ge 0.133 0.633 0.500 1
```

Total magnetic moment in μB per cell: 0.000


(12)
The following is a DFT calculation (GGA-PBEsol) of ZrZn2Ge after structural relaxation.

CIF file:
```
data_ZrZn2Ge
_symmetry_space_group_name_H-M 'I 4/m m m'
_symmetry_Int_Tables_number 139
_symmetry_space_group_name_Hall '-I 4 2'
_cell_length_a 3.914
_cell_length_b 3.914
_cell_length_c 17.017
_cell_angle_alpha 90.00
_cell_angle_beta 90.00
_cell_angle_gamma 90.00
loop_
_atom_site_label
_atom_site_type_symbol
_atom_site_fract_x
_atom_site_fract_y
_atom_site_fract_z
_atom_site_occupancy
Zr1 Zr 0.000 0.000 0.126 1
Zn1 Zn 0.000 0.000 0.398 1
Zn2 Zn 0.000 0.500 0.000 1
Ge1 Ge 0.000 0.500 0.250 1
```

Total magnetic moment in μB per cell: 0.000


Taking the records one at a time from the top gives calculated formation energy values of -0.51; -0.85; -0.64; -0.57; -0.24; -0.36; -0.26; -0.37; 2.10; 0.09; -0.83; -0.38 eV per atom.
Taking the records one at a time from the top gives final energy values of -86.975; -92.234; -26.670; -262.632; -91.009; -28.425; -60.885; -131.879; -37.454; -26.551; -73.491; -74.819 eV per cell.